Record 1
Here is a relaxed structure of Ac5Cu6 from Alexandria via LeMat-Bulk. Energies are from PBE-GGA.

Unit cell a=4.188 b=4.511 c=15.626 alpha=98.30 beta=90.00 gamma=90.00
Fractional positions:
Ac: 0.500 0.803 0.607
Ac: 0.500 0.197 0.393
Ac: 0.000 0.614 0.229
Ac: 0.000 0.386 0.771
Ac: 0.000 0.000 0.000
Cu: 0.500 0.540 0.080
Cu: 0.500 0.460 0.920
Cu: 0.000 0.727 0.454
Cu: 0.000 0.273 0.546
Cu: 0.500 0.917 0.835
Cu: 0.500 0.083 0.165

Properties
SG	Cmmm, No. 65
formation energy	-0.16	eV per atom
DOS(E_F)	7.88	states/eV/cell
total moment	0.0	μB/f.u.

Record 2
Here is a relaxed structure of Ac2Cu from Alexandria via LeMat-Bulk. Energies are from PBE-GGA.

Unit cell a=4.122 b=7.096 c=7.651 alpha=75.42 beta=74.37 gamma=73.12
Fractional positions:
Ac: 0.589 0.206 0.615
Ac: 0.411 0.794 0.385
Ac: 0.166 0.742 0.926
Ac: 0.834 0.258 0.074
Cu: 0.114 0.439 0.332
Cu: 0.886 0.561 0.668

Properties
SG	C2/m, No. 12
formation energy	-0.07	eV per atom
distance to the lowest polymorph of the same formula	0	meV/atom
DOS(E_F)	6.43	states/eV/cell
total moment	0.0	μB/f.u.

Record 3
Here is a relaxed structure of AcCu3 from Alexandria via LeMat-Bulk. Energies are from PBE-GGA.

Unit cell a=4.279 b=4.279 c=5.685 alpha=67.90 beta=67.90 gamma=60.00
Fractional positions:
Ac: 0.500 0.500 0.500
Cu: 0.303 0.303 0.090
Cu: 0.697 0.697 0.910
Cu: 0.000 0.000 0.000

Properties
SG	R-3m, No. 166
formation energy	-0.14	eV per atom
DOS(E_F)	2.68	states/eV/cell
total moment	0.0	μB/f.u.

Record 4
Here is a relaxed structure of Ac3Cu11 from Alexandria via LeMat-Bulk. Energies are from PBE-GGA.

Unit cell a=4.300 b=8.186 c=8.186 alpha=71.39 beta=74.77 gamma=74.77
Fractional positions:
Ac: 0.000 0.000 0.000
Ac: 0.310 0.690 0.690
Ac: 0.690 0.310 0.310
Cu: 0.684 0.646 0.986
Cu: 0.889 0.392 0.830
Cu: 0.684 0.986 0.646
Cu: 0.500 0.274 0.726
Cu: 0.111 0.170 0.608
Cu: 0.000 0.500 0.500
Cu: 0.889 0.830 0.392
Cu: 0.500 0.726 0.274
Cu: 0.316 0.014 0.354
Cu: 0.111 0.608 0.170
Cu: 0.316 0.354 0.014

Properties
SG	Immm, No. 71
formation energy	-0.11	eV per atom
DOS(E_F)	6.21	states/eV/cell
total moment	0.0	μB/f.u.

> Which formula does entry 4 have?

Ac3Cu11